Arrangement a

Material: BaTc
Method: DFT, GGA-PBEsol
State: relaxed

Geometry as CIF:
```
data_BaTc
_cell_length_a 3.3597
_cell_length_b 3.3597
_cell_length_c 14.9129
_cell_angle_alpha 90.00
_cell_angle_beta 90.00
_cell_angle_gamma 120.00
_space_group_name_H-M_alt 'R -3 m'
_space_group_IT_number 166
_space_group_name_Hall '-R 3 2"'
loop_
_atom_site_label
_atom_site_fract_x
_atom_site_fract_y
_atom_site_fract_z
Ba1 0.0000 0.0000 0.0000
Tc1 0.0000 0.0000 0.5000
```



Arrangement b

Material: BaTc
Method: DFT, GGA-PBEsol
State: relaxed

Geometry as CIF:
```
data_BaTc
_cell_length_a 3.442
_cell_length_b 3.442
_cell_length_c 9.868
_cell_angle_alpha 90.00
_cell_angle_beta 90.00
_cell_angle_gamma 90.00
_space_group_name_H-M_alt 'P 4/n m m'
_space_group_IT_number 129
loop_
_space_group_symop_operation_xyz
'x,y,z'
'-x,-y,-z'
'-y+1/2,x,z'
'y+1/2,-x,-z'
'-x+1/2,-y+1/2,z'
'x+1/2,y+1/2,-z'
'y,-x+1/2,z'
'-y,x+1/2,-z'
'x+1/2,-y,-z'
'-x+1/2,y,z'
'-y,-x,-z'
'y,x,z'
'-x,y+1/2,-z'
'x,-y+1/2,z'
'y+1/2,x+1/2,-z'
'-y+1/2,-x+1/2,z'
loop_
_atom_site_label
_atom_site_fract_x
_atom_site_fract_y
_atom_site_fract_z
Ba1 0.250 0.250 0.204
Tc1 0.250 0.250 0.525
```



From most stable to least stable, the computed energies give arrangement b, arrangement a.